(w)
## ZnHgSb (GGA-PBE)

Data for a relaxed structure of ZnHgSb.

Properties
- SG: P2_1/m (11)

a = 4.094 Å, b = 4.090 Å, c = 9.469 Å
α = 90.00°, β = 100.84°, γ = 90.00°
Element x y z (fractional)
Hg (0.369, 0.250, 0.384)
Hg (0.631, 0.750, 0.616)
Sb (0.164, 0.250, 0.798)
Sb (0.836, 0.750, 0.202)
Zn (0.752, 0.250, 0.000)
Zn (0.248, 0.750, 0.000)

(x)
## ZnHgSb (GGA-PBE)

Data for a relaxed structure of ZnHgSb.

Properties
- SG: P-1 (2)

a = 4.547 Å, b = 4.456 Å, c = 12.143 Å
α = 122.88°, β = 91.84°, γ = 119.09°
Element x y z (fractional)
Zn (0.607, 0.450, 0.099)
Zn (0.393, 0.550, 0.901)
Hg (0.891, 0.332, 0.590)
Hg (0.109, 0.668, 0.410)
Sb (0.651, 0.068, 0.826)
Sb (0.349, 0.932, 0.174)

(y)
## ZnHgSb (GGA-PBE)

Data for a relaxed structure of ZnHgSb.

Properties
- SG: Fmm2 (42)

a = 7.316 Å, b = 7.137 Å, c = 3.271 Å
α = 80.00°, β = 73.87°, γ = 26.12°
Element x y z (fractional)
Hg (0.018, 0.018, 0.982)
Sb (0.317, 0.317, 0.683)
Zn (0.665, 0.665, 0.335)

Which one is most stable, and which one is least stable? (x) is the most stable of them, while (y) is the least stable.

(w)
## ZnHgSb (GGA-PBE)

Data for a relaxed structure of ZnHgSb.

Properties
- SG: Imm2 (44)

a = 5.910 Å, b = 5.910 Å, c = 5.910 Å
α = 148.04°, β = 139.71°, γ = 52.32°
Element x y z (fractional)
Hg (0.012, 0.012, 0.000)
Sb (0.314, 0.314, 0.000)
Zn (0.674, 0.674, 0.000)

(x)
## ZnHgSb (GGA-PBE)

Data for a relaxed structure of ZnHgSb.

Properties
- SG: I4mm (107)

a = 6.953 Å, b = 6.953 Å, c = 6.953 Å
α = 152.84°, β = 152.84°, γ = 38.79°
Element x y z (fractional)
Hg (0.020, 0.020, 0.000)
Sb (0.317, 0.317, 0.000)
Zn (0.663, 0.663, 0.000)

(y)
## ZnHgSb (GGA-PBE)

Data for a relaxed structure of ZnHgSb.

Properties
- SG: P3m1 (156)

a = 4.295 Å, b = 4.295 Å, c = 4.611 Å
α = 90.00°, β = 90.00°, γ = 120.00°
Element x y z (fractional)
Hg (0.000, 0.000, 0.974)
Sb (0.667, 0.333, 0.387)
Zn (0.333, 0.667, 0.639)

Which one is most stable, and which one is least stable? (y) is the most stable of them, while (w) is the least stable.

(w)
## Zn2HgSb (GGA-PBE)

Data for a relaxed structure of Zn2HgSb.

Properties
- SG: P4mm (99)

a = 4.021 Å, b = 4.021 Å, c = 5.686 Å
α = 90.00°, β = 90.00°, γ = 90.00°
Element x y z (fractional)
Hg (0.000, 0.000, 0.375)
Sb (0.500, 0.500, 0.875)
Zn (0.000, 0.000, 0.875)
Zn (0.500, 0.500, 0.374)

(x)
## Zn2HgSb (GGA-PBE)

Data for a relaxed structure of Zn2HgSb.

Properties
- SG: R-3m (166)

a = 8.343 Å, b = 8.343 Å, c = 8.343 Å
α = 24.25°, β = 24.25°, γ = 24.25°
Element x y z (fractional)
Hg (0.250, 0.250, 0.250)
Sb (0.750, 0.750, 0.750)
Zn (0.997, 0.997, 0.997)
Zn (0.503, 0.503, 0.503)

Which one is most stable, and which one is least stable? (w) is the most stable of them, while (x) is the least stable.

(w)
## Zn2HgSb (GGA-PBE)

Data for a relaxed structure of Zn2HgSb.

Properties
- SG: C2/m (12)

a = 4.269 Å, b = 4.269 Å, c = 6.515 Å
α = 75.73°, β = 75.73°, γ = 52.63°
Element x y z (fractional)
Hg (0.750, 0.750, 0.750)
Sb (0.250, 0.250, 0.250)
Zn (0.999, 0.999, 0.008)
Zn (0.501, 0.501, 0.492)

(x)
## Zn2HgSb (GGA-PBE)

Data for a relaxed structure of Zn2HgSb.

Properties
- SG: Amm2 (38)

a = 5.672 Å, b = 5.672 Å, c = 4.062 Å
α = 89.99°, β = 89.99°, γ = 41.33°
Element x y z (fractional)
Hg (0.514, 0.514, 0.625)
Sb (0.238, 0.238, 0.125)
Zn (0.966, 0.966, 0.125)
Zn (0.783, 0.783, 0.625)

(y)
## Zn2HgSb (GGA-PBE)

Data for a relaxed structure of Zn2HgSb.

Properties
- SG: Cmmm (65)

a = 3.264 Å, b = 3.264 Å, c = 8.586 Å
α = 90.00°, β = 90.00°, γ = 107.20°
Element x y z (fractional)
Hg (0.500, 0.500, 0.250)
Sb (0.500, 0.500, 0.750)
Zn (0.000, 0.000, 0.008)
Zn (0.000, 0.000, 0.492)

(z)
## Zn2HgSb (GGA-PBE)

Data for a relaxed structure of Zn2HgSb.

Properties
- SG: Cmm2 (35)

a = 3.201 Å, b = 3.201 Å, c = 8.821 Å
α = 90.00°, β = 90.00°, γ = 103.62°
Element x y z (fractional)
Hg (0.000, 0.000, 0.465)
Sb (0.500, 0.500, 0.787)
Zn (0.000, 0.000, 0.028)
Zn (0.500, 0.500, 0.220)

Which one is most stable, and which one is least stable? (w) is the most stable of them, while (y) is the least stable.

(w)
## Zn2HgSb (GGA-PBE)

Data for a relaxed structure of Zn2HgSb.

Properties
- SG: Fm-3m (225)

a = 4.974 Å, b = 4.974 Å, c = 4.974 Å
α = 60.00°, β = 60.00°, γ = 60.00°
Element x y z (fractional)
Sb (0.000, 0.000, 0.000)
Zn (0.250, 0.250, 0.250)
Zn (0.750, 0.750, 0.750)
Hg (0.500, 0.500, 0.500)

(x)
## Zn2HgSb (GGA-PBE)

Data for a relaxed structure of Zn2HgSb.

Properties
- SG: P4/mmm (123)

a = 3.646 Å, b = 3.646 Å, c = 6.412 Å
α = 90.00°, β = 90.00°, γ = 90.00°
Element x y z (fractional)
Hg (0.500, 0.500, 0.250)
Sb (0.500, 0.500, 0.750)
Zn (0.000, 0.000, 0.015)
Zn (0.000, 0.000, 0.485)

(y)
## Zn2HgSb (GGA-PBE)

Data for a relaxed structure of Zn2HgSb.

Properties
- SG: P4mm (99)

a = 3.121 Å, b = 3.121 Å, c = 8.940 Å
α = 90.00°, β = 90.00°, γ = 90.00°
Element x y z (fractional)
Hg (0.000, 0.000, 0.458)
Sb (0.500, 0.500, 0.790)
Zn (0.000, 0.000, 0.038)
Zn (0.500, 0.500, 0.214)

(z)
## Zn2HgSb (GGA-PBE)

Data for a relaxed structure of Zn2HgSb.

Properties
- SG: C2/m (12)

a = 5.326 Å, b = 5.326 Å, c = 3.315 Å
α = 78.40°, β = 78.40°, γ = 91.48°
Element x y z (fractional)
Hg (0.500, 0.000, 0.500)
Sb (0.000, 0.500, 0.500)
Zn (0.000, 0.000, 0.000)
Zn (0.500, 0.500, 0.000)

Which one is most stable, and which one is least stable? (z) is the most stable of them, while (x) is the least stable.

(w)
## Zn2HgSb (GGA-PBE)

Data for a relaxed structure of Zn2HgSb.

Properties
- SG: Pmmm (47)

a = 4.141 Å, b = 5.349 Å, c = 3.920 Å
α = 90.00°, β = 90.00°, γ = 90.00°
Element x y z (fractional)
Hg (0.500, 0.000, 0.500)
Sb (0.000, 0.500, 0.500)
Zn (0.000, 0.000, 0.000)
Zn (0.500, 0.500, 0.000)

(x)
## Zn2HgSb (GGA-PBE)

Data for a relaxed structure of Zn2HgSb.

Properties
- SG: I-42d (122)

a = 4.616 Å, b = 4.616 Å, c = 9.351 Å
α = 75.71°, β = 75.71°, γ = 90.00°
Element x y z (fractional)
Sb (0.500, 0.500, 0.000)
Sb (0.250, 0.750, 0.500)
Zn (0.671, 0.125, 0.250)
Zn (0.079, 0.625, 0.250)
Zn (0.375, 0.329, 0.750)
Zn (0.875, 0.921, 0.750)
Hg (0.000, 0.000, 0.000)
Hg (0.750, 0.250, 0.500)

(y)
## Zn2HgSb (GGA-PBE)

Data for a relaxed structure of Zn2HgSb.

Properties
- SG: Pm (6)

a = 4.605 Å, b = 4.455 Å, c = 4.461 Å
α = 78.06°, β = 90.00°, γ = 90.00°
Element x y z (fractional)
Hg (0.000, 0.462, 0.460)
Sb (0.500, 0.794, 0.795)
Zn (0.000, 0.028, 0.026)
Zn (0.500, 0.217, 0.219)

Which one is most stable, and which one is least stable? (y) is the most stable of them, while (w) is the least stable.

(w)
## ZnHg3Sb (GGA-PBE)

Data for a relaxed structure of ZnHg3Sb.

Properties
- SG: Pm-3m (221)

a = 5.189 Å, b = 5.189 Å, c = 5.189 Å
α = 90.00°, β = 90.00°, γ = 90.00°
Element x y z (fractional)
Sb (0.500, 0.500, 0.500)
Zn (0.000, 0.000, 0.000)
Hg (0.000, 0.500, 0.000)
Hg (0.000, 0.000, 0.500)
Hg (0.500, 0.000, 0.000)

(x)
## ZnHg3Sb (GGA-PBE)

Data for a relaxed structure of ZnHg3Sb.

Properties
- SG: Pm-3m (221)

a = 5.836 Å, b = 5.836 Å, c = 5.836 Å
α = 90.00°, β = 90.00°, γ = 90.00°
Element x y z (fractional)
Sb (0.000, 0.000, 0.000)
Zn (0.500, 0.500, 0.500)
Hg (0.000, 0.500, 0.000)
Hg (0.000, 0.000, 0.500)
Hg (0.500, 0.000, 0.000)

Which one is most stable, and which one is least stable? (x) is the most stable of them, while (w) is the least stable.

(w)
## ZrHgSb (GGA-PBE)

Data for a relaxed structure of ZrHgSb.

Properties
- SG: Imm2 (44)

a = 5.864 Å, b = 5.864 Å, c = 5.864 Å
α = 146.73°, β = 140.51°, γ = 52.57°
Element x y z (fractional)
Hg (0.006, 0.006, 0.000)
Sb (0.326, 0.326, 0.000)
Zr (0.667, 0.667, 0.000)

(x)
## ZrHgSb (GGA-PBE)

Data for a relaxed structure of ZrHgSb.

Properties
- SG: F-43m (216)

a = 4.890 Å, b = 4.890 Å, c = 4.890 Å
α = 60.00°, β = 60.00°, γ = 60.00°
Element x y z (fractional)
Hg (0.000, 0.000, 0.000)
Sb (0.500, 0.500, 0.500)
Zr (0.750, 0.750, 0.750)

(y)
## ZrHgSb (GGA-PBE)

Data for a relaxed structure of ZrHgSb.

Properties
- SG: P4/nmm (129)

a = 4.092 Å, b = 4.092 Å, c = 8.684 Å
α = 90.00°, β = 90.00°, γ = 90.00°
Element x y z (fractional)
Hg (0.000, 0.000, 0.000)
Hg (0.500, 0.500, 0.000)
Sb (0.000, 0.500, 0.362)
Sb (0.500, 0.000, 0.638)
Zr (0.000, 0.500, 0.713)
Zr (0.500, 0.000, 0.287)

(z)
## ZrHgSb (GGA-PBE)

Data for a relaxed structure of ZrHgSb.

Properties
- SG: F-43m (216)

a = 4.874 Å, b = 4.874 Å, c = 4.874 Å
α = 60.00°, β = 60.00°, γ = 60.00°
Element x y z (fractional)
Hg (0.500, 0.500, 0.500)
Sb (0.750, 0.750, 0.750)
Zr (0.000, 0.000, 0.000)

Which one is most stable, and which one is least stable? (y) is the most stable of them, while (z) is the least stable.

(w)
## Zr2HgSb2 (GGA-PBE)

Data for a relaxed structure of Zr2HgSb2.

Properties
- SG: P4/mbm (127)

a = 7.939 Å, b = 7.939 Å, c = 3.827 Å
α = 90.00°, β = 90.00°, γ = 90.00°
Element x y z (fractional)
Sb (0.152, 0.652, 0.500)
Sb (0.652, 0.848, 0.500)
Sb (0.848, 0.348, 0.500)
Sb (0.348, 0.152, 0.500)
Hg (0.000, 0.000, 0.000)
Hg (0.500, 0.500, 0.000)
Zr (0.357, 0.857, 0.000)
Zr (0.857, 0.643, 0.000)
Zr (0.643, 0.143, 0.000)
Zr (0.143, 0.357, 0.000)

(x)
## Zr2HgSb2 (GGA-PBE)

Data for a relaxed structure of Zr2HgSb2.

Properties
- SG: P4/mbm (127)

a = 8.093 Å, b = 8.093 Å, c = 3.715 Å
α = 90.00°, β = 90.00°, γ = 90.00°
Element x y z (fractional)
Sb (0.350, 0.850, 0.000)
Sb (0.850, 0.650, 0.000)
Sb (0.650, 0.150, 0.000)
Sb (0.150, 0.350, 0.000)
Hg (0.000, 0.000, 0.000)
Hg (0.500, 0.500, 0.000)
Zr (0.141, 0.641, 0.500)
Zr (0.641, 0.859, 0.500)
Zr (0.859, 0.359, 0.500)
Zr (0.359, 0.141, 0.500)

Which one is most stable, and which one is least stable? (w) is the most stable of them, while (x) is the least stable.

(w)
## Sc2Hg3 (GGA-PBE)

Data for a relaxed structure of Sc2Hg3.

Properties
- SG: R-3m (166)

a = 4.806 Å, b = 4.806 Å, c = 6.198 Å
α = 67.19°, β = 67.19°, γ = 60.00°
Element x y z (fractional)
Sc (0.400, 0.400, 0.799)
Sc (0.600, 0.600, 0.201)
Hg (0.000, 0.000, 0.000)
Hg (0.796, 0.796, 0.612)
Hg (0.204, 0.204, 0.388)

(x)
## Sc2Hg3 (GGA-PBE)

Data for a relaxed structure of Sc2Hg3.

Properties
- SG: Fdd2 (43)

a = 5.953 Å, b = 5.953 Å, c = 7.867 Å
α = 78.78°, β = 78.78°, γ = 119.06°
Element x y z (fractional)
Hg (0.654, 0.769, 0.779)
Hg (0.548, 0.433, 0.221)
Hg (0.183, 0.798, 0.721)
Hg (0.519, 0.904, 0.279)
Hg (0.028, 0.028, 0.000)
Hg (0.778, 0.278, 0.500)
Sc (0.629, 0.250, 0.891)
Sc (0.141, 0.521, 0.109)
Sc (0.271, 0.391, 0.609)
Sc (0.000, 0.879, 0.391)

Which one is most stable, and which one is least stable? (w) is the most stable of them, while (x) is the least stable.